Entry 1:
17
Lattice="-4.061 4.061 4.061 4.061 -4.061 4.061 4.061 4.061 -4.061" Properties=species:S:1:pos:R:3 comment="LaCo4Si12 | Alexandria via LeMat-Bulk | PBE | relaxed" formation_energy_uncorrected_kj_per_mol_fu=-302 pbc="T T T"
La 0.000 0.000 0.000
Co 2.031 2.031 -2.031
Co 2.031 -2.031 2.031
Co -2.031 2.031 2.031
Co 2.031 2.031 2.031
Si 4.061 2.560 -1.207
Si 2.854 0.000 1.501
Si 5.268 0.000 1.501
Si 1.501 2.854 0.000
Si 2.560 -1.207 4.061
Si 4.061 2.560 1.207
Si 0.000 1.501 2.854
Si 1.501 5.268 0.000
Si 2.560 1.207 4.061
Si -1.207 4.061 2.560
Si 1.207 4.061 2.560
Si 0.000 1.501 5.268

Entry 2:
4
Lattice="3.068 0.000 0.000 0.000 4.112 0.000 -1.506 0.000 5.132" Properties=species:S:1:pos:R:3 comment="TlCo2Au | Alexandria via LeMat-Bulk | PBE | relaxed" final_energy_ev_per_atom=-4.541 pbc="T T T"
Tl 0.000 0.000 0.000
Co 0.022 0.000 2.775
Co 0.022 2.056 3.955
Au 1.552 2.056 1.751

Entry 3:
4
Lattice="3.931 0.000 0.000 0.000 1.997 5.758 0.000 -1.997 5.758" Properties=species:S:1:pos:R:3 comment="LaPrCo2 | Alexandria via LeMat-Bulk | PBE | relaxed" e_above_lowest_polymorph_kj_per_mol_fu=0.0 pbc="T T T"
La 0.000 0.000 0.000
Pr 1.966 0.000 3.188
Co 0.000 0.000 7.948
Co 1.966 0.000 6.696

Entry 4:
3
Lattice="0.000 3.853 3.853 3.853 0.000 3.853 3.853 3.853 0.000" Properties=species:S:1:pos:R:3 comment="KMgCu | Alexandria via LeMat-Bulk | PBE | relaxed" e_above_lowest_polymorph_kj_per_mol_fu=166.9 pbc="T T T"
K 0.000 0.000 0.000
Mg 1.926 1.926 1.926
Cu 5.779 5.779 5.779

Entry 5:
4
Lattice="3.307 0.000 0.000 0.000 3.307 0.000 0.000 0.000 8.269" Properties=species:S:1:pos:R:3 comment="KCrMo2 | Alexandria via LeMat-Bulk | PBE | relaxed" e_above_lowest_polymorph_kj_per_mol_fu=34.9 pbc="T T T"
K 0.000 0.000 0.000
Cr 0.000 0.000 4.134
Mo 1.654 1.654 3.005
Mo 1.654 1.654 5.264

Entry 6:
10
Lattice="4.811 0.000 0.000 0.000 4.761 0.000 -0.997 0.000 10.029" Properties=species:S:1:pos:R:3 comment="DyMg2Au2 | Alexandria via LeMat-Bulk | PBE | relaxed" final_energy_ev_per_atom=-3.455 pbc="T T T"
Dy 0.734 1.190 3.175
Dy 3.080 3.570 6.855
Mg 0.310 1.190 9.855
Mg 0.648 1.190 6.675
Mg 3.166 3.570 3.354
Mg 3.505 3.570 0.174
Au 0.679 3.570 5.135
Au 1.070 3.570 1.481
Au 2.744 1.190 8.548
Au 3.136 1.190 4.894

Entry 7:
4
Lattice="0.000 3.534 3.534 3.534 0.000 3.534 3.534 3.534 0.000" Properties=species:S:1:pos:R:3 comment="GdYIrAu | Alexandria via LeMat-Bulk | PBE | relaxed" final_energy_ev_per_atom=-8.961 pbc="T T T"
Gd 0.000 0.000 0.000
Y 3.534 3.534 3.534
Ir 1.767 1.767 1.767
Au 5.301 5.301 5.301

Entry 8:
4
Lattice="2.112 1.219 7.063 -2.112 1.219 7.063 0.000 -2.439 7.063" Properties=species:S:1:pos:R:3 comment="KIN2 | Alexandria via LeMat-Bulk | PBE | relaxed" formation_energy_uncorrected_kj_per_mol_fu=549 e_above_lowest_polymorph_kj_per_mol_fu=819.2 pbc="T T T"
K 0.000 0.000 0.000
I 0.000 0.000 10.595
N 0.000 0.000 8.625
N 0.000 0.000 12.564

Entry 9:
10
Lattice="4.972 0.000 0.000 0.000 7.713 0.000 -1.442 0.000 4.278" Properties=species:S:1:pos:R:3 comment="VW4 | Alexandria via LeMat-Bulk | PBE | relaxed" e_above_lowest_polymorph_kj_per_mol_fu=137.6 pbc="T T T"
V -0.360 0.887 1.070
V -1.081 6.826 3.209
W 0.671 3.156 1.880
W -0.050 4.557 4.019
W 0.317 1.153 3.940
W 1.038 6.560 1.801
W 2.492 1.153 2.477
W 3.213 6.560 0.338
W 3.580 3.156 0.260
W 2.859 4.557 2.399

Entry 10:
4
Lattice="0.000 3.306 3.306 3.306 0.000 3.306 3.306 3.306 0.000" Properties=species:S:1:pos:R:3 comment="BeP2Pb | Alexandria via LeMat-Bulk | PBE | relaxed" final_energy_ev_per_atom=-3.702 pbc="T T T"
Be 0.000 0.000 0.000
P 1.653 1.653 1.653
P 3.306 3.306 3.306
Pb 4.959 4.959 4.959

Entry 11:
10
Lattice="4.014 -7.596 0.000 4.014 7.596 0.000 0.000 0.000 2.734" Properties=species:S:1:pos:R:3 comment="Nb2CoRh7 | Alexandria via LeMat-Bulk | PBE | relaxed" final_energy_ev_per_atom=-7.582 pbc="T T T"
Nb 4.014 4.961 0.000
Nb 4.014 -4.961 0.000
Co 4.014 0.000 1.367
Rh 0.000 0.000 0.000
Rh 2.231 1.369 0.000
Rh 4.014 2.722 1.367
Rh 2.231 -1.369 0.000
Rh 5.797 1.369 0.000
Rh 4.014 -2.722 1.367
Rh 5.797 -1.369 0.000

Entry 12:
14
Lattice="4.823 -3.341 0.000 4.823 3.341 0.000 -3.530 0.000 7.600" Properties=species:S:1:pos:R:3 comment="LaScF5 | Alexandria via LeMat-Bulk | PBE | relaxed" formation_energy_uncorrected_kj_per_mol_fu=-2528 pbc="T T T"
La 2.175 2.873 5.700
La 3.941 -2.873 1.900
Sc 4.823 0.000 0.000
Sc 3.058 0.000 3.800
F 4.377 2.089 0.221
F 1.261 0.281 2.797
F 3.504 2.089 3.579
F -0.504 -0.281 6.597
F 2.175 0.373 5.700
F 3.941 -0.373 1.900
F 6.620 0.281 1.003
F 2.612 -2.089 4.021
F 4.855 -0.281 4.803
F 1.739 -2.089 7.379

Entry 13:
6
Lattice="0.000 3.794 3.794 3.794 0.000 3.794 3.794 3.794 0.000" Properties=species:S:1:pos:R:3 comment="LuThRh4 | Alexandria via LeMat-Bulk | PBE | relaxed" final_energy_ev_per_atom=-7.652 pbc="T T T"
Lu 0.000 0.000 0.000
Th 5.690 5.690 5.690
Rh 2.840 2.840 2.840
Rh 4.747 4.747 2.840
Rh 4.747 2.840 4.747
Rh 2.840 4.747 4.747

Entry 14:
4
Lattice="-1.800 2.485 6.489 1.800 -2.485 6.489 1.800 2.485 -6.489" Properties=species:S:1:pos:R:3 comment="CrPBr2 | Alexandria via LeMat-Bulk | PBE | relaxed" formation_energy_uncorrected_kj_per_mol_fu=1 e_above_lowest_polymorph_kj_per_mol_fu=147.0 pbc="T T T"
Cr 0.000 0.000 0.000
P 1.800 0.000 1.534
Br 0.000 0.000 7.283
Br 0.000 2.485 4.626

Entry 15:
8
Lattice="4.167 0.000 0.000 0.000 4.167 0.000 0.000 0.000 14.452" Properties=species:S:1:pos:R:3 comment="Tb4Sm3Tl | Alexandria via LeMat-Bulk | PBE | relaxed" e_above_lowest_polymorph_kj_per_mol_fu=53.6 pbc="T T T"
Tb 0.000 0.000 1.618
Tb 0.000 0.000 5.331
Tb 0.000 0.000 9.121
Tb 0.000 0.000 12.834
Sm 2.083 2.083 3.591
Sm 2.083 2.083 7.226
Sm 2.083 2.083 10.862
Tl 2.083 2.083 0.000

Entry 16:
8
Lattice="6.234 0.000 0.000 0.000 6.234 0.000 0.000 0.000 6.234" Properties=species:S:1:pos:R:3 comment="La3Cu | Alexandria via LeMat-Bulk | PBE | relaxed" final_energy_ev_per_atom=-4.555 pbc="T T T"
La 0.000 1.559 3.117
La 0.000 4.676 3.117
La 1.559 3.117 0.000
La 3.117 0.000 1.559
La 3.117 0.000 4.676
La 4.676 3.117 0.000
Cu 0.000 0.000 0.000
Cu 3.117 3.117 3.117

Entry 17:
6
Lattice="0.000 3.741 3.741 3.741 0.000 3.741 3.741 3.741 0.000" Properties=species:S:1:pos:R:3 comment="As2Ir | Alexandria via LeMat-Bulk | PBE | relaxed" final_energy_ev_per_atom=-5.058 pbc="T T T"
As 0.000 0.000 0.000
As 1.870 1.870 0.000
As 1.870 0.000 1.870
As 0.000 1.870 1.870
Ir 2.806 2.806 2.806
Ir 4.676 4.676 4.676

Entry 18:
11
Lattice="5.122 -3.813 0.000 5.122 3.813 0.000 -0.221 0.000 4.510" Properties=species:S:1:pos:R:3 comment="SrPd2F8 | Alexandria via LeMat-Bulk | PBE | relaxed" formation_energy_uncorrected_kj_per_mol_fu=-2064 e_above_lowest_polymorph_kj_per_mol_fu=0.0 pbc="T T T"
Sr 0.000 0.000 0.000
Pd 3.794 0.000 3.336
Pd 6.229 0.000 1.174
F 3.818 1.961 3.340
F 1.847 0.000 3.249
F 6.204 1.961 1.169
F 4.176 0.000 1.092
F 5.847 0.000 3.418
F 3.818 -1.961 3.340
F 8.175 0.000 1.261
F 6.204 -1.961 1.169